Entry from the Alexandria database: a crystal of Nb3FeP6O24 relaxed with PBEsol (meta-GGA SCAN).

```
data_Nb3FeP6O24
_space_group_name_H-M_alt 'R 3'
_space_group_IT_number 146
_space_group_name_Hall 'R 3'
_cell_length_a 8.5888
_cell_length_b 8.5888
_cell_length_c 22.2303
_cell_angle_alpha 90.00
_cell_angle_beta 90.00
_cell_angle_gamma 120.00
loop_
_atom_site_label
_atom_site_type_symbol
_atom_site_fract_x
_atom_site_fract_y
_atom_site_fract_z
Nb1 Nb 0.0000 0.0000 0.0000
Nb2 Nb 0.0000 0.0000 0.2152
Nb3 Nb 0.0000 0.0000 0.4962
Fe1 Fe 0.0000 0.0000 0.7117
P1 P 0.0535 0.6846 0.7725
P2 P 0.0655 0.3914 0.2774
O1 O 0.0205 0.1923 0.5515
O2 O 0.0236 0.1963 0.2664
O3 O 0.0399 0.8371 0.0530
O4 O 0.0602 0.8610 0.7633
O5 O 0.1440 0.6708 0.1153
O6 O 0.1620 0.6964 0.8297
O7 O 0.1664 0.4518 0.6204
O8 O 0.1913 0.4621 0.3306
```

- raw total energy (eV per atom) = -12.182
- magnetization (μB per atom) = 0.029